VASP calculation (PBE-GGA) on an optimized crystal structure of Cr2Ag2B.

Formation energy: 0.56 eV/atom
E above lowest polymorph: 0.000 eV/atom

a b c (Å): 5.4078 5.4078 4.7037
angles (deg): 90.00 90.00 90.00
Space group P4/mbm (No. 127)
Symmetry-distinct sites (fractional):
Cr 0.1417 0.3583 0.0000 [4 per cell]
Ag 0.1765 0.6765 0.5000 [4 per cell]
B 0.0000 0.0000 0.0000 [2 per cell]